# Ti6ZnPd

A relaxed structure of Ti6ZnPd (GGA-PBE, Alexandria via LeMat-Bulk).

energy above the lowest structure with this stoichiometry	0.00	eV/f.u.
size of the total moment	0.000	μB/atom
ΔH_f (0 K)	-0.2228	eV/atom
SG	No. 200

Lattice parameters (Å, degrees): 7.1536 7.1547 5.0578 44.98 45.00 59.97
Atoms (fractional coordinates):
Ti 0.9992 0.5001 0.7499
Ti 0.7505 0.9999 0.7491
Ti 0.5001 0.2493 0.2500
Ti 0.2495 0.0001 0.2509
Ti 0.0008 0.4999 0.2501
Ti 0.4999 0.7507 0.7500
Zn 0.5000 0.5000 0.5000
Pd 0.0000 0.0000 0.0000

=====

# Ba2TcW

A relaxed structure of Ba2TcW (GGA-PBE, Alexandria via LeMat-Bulk).

energy above the lowest structure with this stoichiometry	0.47	eV/f.u.
size of the total moment	0.000	μB/atom
ΔH_f (0 K)	0.6257	eV/atom
SG	No. 6

Lattice parameters (Å, degrees): 3.5754 3.4668 10.1665 80.15 90.00 90.00
Atoms (fractional coordinates):
Ba 0.0000 0.2228 0.9264
Ba 0.5000 0.0262 0.3240
Tc 0.0000 0.3917 0.5925
W 0.5000 0.8592 0.6571

=====

# Ca4AgAu3

A relaxed structure of Ca4AgAu3 (GGA-PBE, Alexandria via LeMat-Bulk).

energy above the lowest structure with this stoichiometry	0.10	eV/f.u.
size of the total moment	0.000	μB/atom
ΔH_f (0 K)	-0.6694	eV/atom
SG	No. 69

Lattice parameters (Å, degrees): 5.1599 5.1599 8.1961 108.42 108.45 89.74
Atoms (fractional coordinates):
Ca 0.3730 0.3730 0.7461
Ca 0.6270 0.6270 0.2539
Ca 0.1269 0.1269 0.2539
Ca 0.8731 0.8731 0.7461
Au 0.0000 0.5000 0.0000
Au 0.7472 0.2475 0.4938
Au 0.2528 0.7525 0.5062
Ag 0.5000 0.0000 0.0000

=====

# AlBr4

A relaxed structure of AlBr4 (GGA-PBE, Alexandria via LeMat-Bulk).

energy above the lowest structure with this stoichiometry	0.00	eV/f.u.
formation energy from raw total energies	-0.73	eV per atom
size of the total moment	0.217	μB/atom
SG	No. 114

Lattice parameters (Å, degrees): 9.7216 9.7216 5.3576 90.00 90.00 90.00
Atoms (fractional coordinates):
Al 0.5000 0.5000 0.5000
Al 0.0000 0.0000 0.0000
Br 0.6728 0.4038 0.7426
Br 0.9038 0.1728 0.2426
Br 0.0962 0.8272 0.2426
Br 0.5962 0.6728 0.2574
Br 0.1728 0.0962 0.7574
Br 0.8272 0.9038 0.7574
Br 0.3272 0.5962 0.7426
Br 0.4038 0.3272 0.2574

=====

# Dy3Ho8Er3

A relaxed structure of Dy3Ho8Er3 (GGA-PBE, Alexandria via LeMat-Bulk).

size of the total moment	0.000	μB/atom
ΔH_f (0 K)	0.1163	eV/atom
SG	No. 71

Lattice parameters (Å, degrees): 5.5578 9.5211 9.5211 101.61 73.03 73.03
Atoms (fractional coordinates):
Dy 0.5000 0.0000 0.0000
Dy 0.0000 0.8190 0.1810
Dy 0.0000 0.1810 0.8190
Ho 0.6588 0.1192 0.5633
Ho 0.3412 0.8808 0.4367
Ho 0.6588 0.5633 0.1192
Ho 0.3412 0.4367 0.8808
Ho 0.8415 0.7621 0.5549
Ho 0.1585 0.2379 0.4451
Ho 0.8415 0.5549 0.7621
Ho 0.1585 0.4451 0.2379
Er 0.5000 0.5000 0.5000
Er 0.7970 0.2030 0.2030
Er 0.2030 0.7970 0.7970

=====

# TlZnBiI2

A relaxed structure of TlZnBiI2 (GGA-PBE, Alexandria via LeMat-Bulk).

formation energy from raw total energies	0.23	eV per atom
size of the total moment	0.000	μB/atom
SG	No. 123

Lattice parameters (Å, degrees): 5.5444 5.5569 5.5444 90.00 90.00 90.00
Atoms (fractional coordinates):
I 0.0000 0.0000 0.5000
I 0.5000 0.0000 0.0000
Zn 0.0000 0.0000 0.0000
Tl 0.0000 0.5000 0.0000
Bi 0.5000 0.5000 0.5000